[1]
A plane-wave DFT calculation with GGA-PBE was carried out for a relaxed ZnGa2FeIr4 crystal.

abc: 4.2904 4.2904 6.0648
angles: 90.00 90.00 90.00
Sites, in units of the cell vectors:
Zn  0.0000  0.0000  0.0000
Ga  0.0000  0.0000  0.5000
Ga  0.5000  0.5000  0.0000
Fe  0.5000  0.5000  0.5000
Ir  0.0000  0.5000  0.2526
Ir  0.0000  0.5000  0.7474
Ir  0.5000  0.0000  0.2526
Ir  0.5000  0.0000  0.7474

Properties
ρ ... 15.3 g/cm3
Raw total energy ... -6.68 eV per atom
Total magnetization ... 4.3 μB per cell
Space-group type ... No. 123

[2]
A plane-wave DFT calculation with GGA-PBE was carried out for a relaxed B2Pd crystal.

abc: 6.4278 6.4278 6.4278
angles: 60.00 60.00 60.00
Sites, in units of the cell vectors:
B  0.0000  0.0000  0.0000
B  0.0000  0.0000  0.5000
B  0.0000  0.5000  0.0000
B  0.5000  0.0000  0.0000
Pd  0.1250  0.1250  0.1250
Pd  0.8750  0.8750  0.8750

Properties
ρ ... 2.3 g/cm3
Raw total energy ... -4.61 eV per atom
Space-group type ... No. 227

[3]
A plane-wave DFT calculation with GGA-PBE was carried out for a relaxed TlAg3PtS4 crystal.

abc: 6.1043 6.1043 6.1043
angles: 90.00 90.00 90.00
Sites, in units of the cell vectors:
Tl  0.0000  0.0000  0.0000
Ag  0.0000  0.5000  0.5000
Ag  0.5000  0.0000  0.5000
Ag  0.5000  0.5000  0.0000
Pt  0.5000  0.5000  0.5000
S  0.2720  0.2720  0.2720
S  0.2720  0.7280  0.7280
S  0.7280  0.2720  0.7280
S  0.7280  0.7280  0.2720

Properties
ρ ... 6.2 g/cm3
Raw total energy ... -3.67 eV per atom
Total magnetization ... 0.8 μB per cell
Space-group type ... No. 215

[4]
A plane-wave DFT calculation with GGA-PBE was carried out for a relaxed NdTlGe crystal.

abc: 5.0323 5.0323 5.0323
angles: 60.00 60.00 60.00
Sites, in units of the cell vectors:
Nd  0.0000  0.0000  0.0000
Tl  0.7500  0.7500  0.7500
Ge  0.5000  0.5000  0.5000

Properties
ρ ... 7.8 g/cm3
Raw total energy ... -3.94 eV per atom
Total magnetization ... 0.0 μB per cell
Space-group type ... No. 216